1.
! BeP2IrS, optimized geometry, DFT GGA-PBE; values from VASP
! E above lowest polymorph ... 0.0 kJ/mol of formula units
! Formation energy (no corrections) ... 4.1 eV/f.u.
! ρ ... 6.89 g/cm³
! V ... 14.2 Å³ per atom
&SYSTEM
  ibrav = 0, nat = 5, ntyp = 4
/
ATOMIC_SPECIES
Be 9.01 Be.upf
P 30.97 P.upf
Ir 192.22 Ir.upf
S 32.06 S.upf
ATOMIC_POSITIONS crystal
Be 0.000 0.000 0.000
P 0.000 0.500 0.000
P 0.500 0.000 0.000
Ir 0.500 0.500 0.500
S 0.000 0.000 0.500
CELL_PARAMETERS angstrom
4.068 0.000 0.000
0.000 4.068 0.000
0.000 0.000 4.297

---

2.
! BePIrS2, optimized geometry, DFT GGA-PBE; values from VASP
! E above lowest polymorph ... 75.0 kJ/mol of formula units
! Formation energy (no corrections) ... 4.8 eV/f.u.
! ρ ... 4.79 g/cm³
! V ... 20.6 Å³ per atom
&SYSTEM
  ibrav = 0, nat = 5, ntyp = 4
/
ATOMIC_SPECIES
Be 9.01 Be.upf
P 30.97 P.upf
Ir 192.22 Ir.upf
S 32.06 S.upf
ATOMIC_POSITIONS crystal
Be 0.000 0.000 0.000
P 0.500 0.500 0.000
Ir 0.500 0.500 0.500
S 0.000 0.500 0.500
S 0.500 0.000 0.500
CELL_PARAMETERS angstrom
4.860 0.000 0.000
0.000 4.860 0.000
0.000 0.000 4.352

---

3.
! BePIrS2, optimized geometry, DFT GGA-PBE; values from VASP
! E above lowest polymorph ... 0.0 kJ/mol of formula units
! Formation energy (no corrections) ... 4.1 eV/f.u.
! ρ ... 6.81 g/cm³
! V ... 14.5 Å³ per atom
&SYSTEM
  ibrav = 0, nat = 5, ntyp = 4
/
ATOMIC_SPECIES
Be 9.01 Be.upf
P 30.97 P.upf
Ir 192.22 Ir.upf
S 32.06 S.upf
ATOMIC_POSITIONS crystal
Be 0.000 0.000 0.000
P 0.000 0.000 0.500
Ir 0.500 0.500 0.500
S 0.000 0.500 0.000
S 0.500 0.000 0.000
CELL_PARAMETERS angstrom
4.210 0.000 0.000
0.000 4.210 0.000
0.000 0.000 4.077

---

4.
! BeP2IrS, optimized geometry, DFT GGA-PBE; values from VASP
! E above lowest polymorph ... 81.5 kJ/mol of formula units
! Formation energy (no corrections) ... 4.9 eV/f.u.
! ρ ... 4.75 g/cm³
! V ... 20.7 Å³ per atom
&SYSTEM
  ibrav = 0, nat = 5, ntyp = 4
/
ATOMIC_SPECIES
Be 9.01 Be.upf
P 30.97 P.upf
Ir 192.22 Ir.upf
S 32.06 S.upf
ATOMIC_POSITIONS crystal
Be 0.000 0.000 0.000
P 0.000 0.500 0.500
P 0.500 0.000 0.500
Ir 0.500 0.500 0.500
S 0.500 0.500 0.000
CELL_PARAMETERS angstrom
4.444 0.000 0.000
0.000 4.444 0.000
0.000 0.000 5.231